(1)
K2SiPt | GGA-PBE | optimized geometry

Summary:
- E (hartree per atom) = -0.137
- size of the total moment (μB per cell) = 0.000
- energy relative to the elements, uncorrected (eV/atom) = -0.316

```
data_K2SiPt
_space_group_name_H-M_alt 'C 1 m 1'
_space_group_IT_number 8
_cell_length_a 7.113
_cell_length_b 4.109
_cell_length_c 9.764
_cell_angle_alpha 90.00
_cell_angle_beta 103.03
_cell_angle_gamma 90.00
loop_
_space_group_symop_operation_xyz
'x,y,z'
'x,-y,z'
'x+1/2,y+1/2,z'
'x+1/2,-y+1/2,z'
loop_
_atom_site_label
_atom_site_type_symbol
_atom_site_fract_x
_atom_site_fract_y
_atom_site_fract_z
K1 K 0.000 0.000 0.000
K2 K 0.166 0.000 0.538
Si1 Si 0.250 0.500 0.269
Pt1 Pt 0.416 0.000 0.269
```

(2)
K2SiPt | GGA-PBE | optimized geometry

Summary:
- E (hartree per atom) = -0.108
- size of the total moment (μB per cell) = 0.999
- energy relative to the elements, uncorrected (eV/atom) = 0.487

```
data_K2SiPt
_space_group_name_H-M_alt 'R -3 m'
_space_group_IT_number 166
_space_group_name_Hall '-R 3 2"'
_cell_length_a 3.0959
_cell_length_b 3.0959
_cell_length_c 33.0232
_cell_angle_alpha 90.00
_cell_angle_beta 90.00
_cell_angle_gamma 120.00
loop_
_atom_site_label
_atom_site_type_symbol
_atom_site_fract_x
_atom_site_fract_y
_atom_site_fract_z
K1 K 0.0000 0.0000 0.2463
Si1 Si 0.0000 0.0000 0.0000
Pt1 Pt 0.0000 0.0000 0.5000
```

(3)
K3SiPt | GGA-PBE | optimized geometry

Summary:
- E (hartree per atom) = -0.090
- size of the total moment (μB per cell) = 3.000
- energy relative to the elements, uncorrected (eV/atom) = 0.492
- E above lowest polymorph (eV/f.u.) = 0.00

```
data_K3SiPt
_space_group_name_H-M_alt 'P m -3 m'
_space_group_IT_number 221
_space_group_name_Hall '-P 4 2 3'
_cell_length_a 6.110
_cell_length_b 6.110
_cell_length_c 6.110
_cell_angle_alpha 90.00
_cell_angle_beta 90.00
_cell_angle_gamma 90.00
loop_
_atom_site_label
_atom_site_type_symbol
_atom_site_fract_x
_atom_site_fract_y
_atom_site_fract_z
K1 K 0.000 0.000 0.500
Si1 Si 0.500 0.500 0.500
Pt1 Pt 0.000 0.000 0.000
```

(4)
KSiPt2 | GGA-PBE | optimized geometry

Summary:
- E (hartree per atom) = -0.157
- size of the total moment (μB per cell) = 0.000
- energy relative to the elements, uncorrected (eV/atom) = 0.381

```
data_KSiPt2
_space_group_name_H-M_alt 'I -4 m 2'
_space_group_IT_number 119
_space_group_name_Hall 'I -4 -2'
_cell_length_a 4.041
_cell_length_b 4.041
_cell_length_c 8.794
_cell_angle_alpha 90.00
_cell_angle_beta 90.00
_cell_angle_gamma 90.00
loop_
_atom_site_label
_atom_site_type_symbol
_atom_site_fract_x
_atom_site_fract_y
_atom_site_fract_z
K1 K 0.000 0.000 0.000
Si1 Si 0.000 0.500 0.250
Pt1 Pt 0.000 0.000 0.500
Pt2 Pt 0.000 0.500 0.750
```

(5)
KSiPt2 | GGA-PBE | optimized geometry

Summary:
- E (hartree per atom) = -0.159
- size of the total moment (μB per cell) = 0.000
- energy relative to the elements, uncorrected (eV/atom) = 0.337

```
data_KSiPt2
_space_group_name_H-M_alt 'P 4/m m m'
_space_group_IT_number 123
_space_group_name_Hall '-P 4 2'
_cell_length_a 4.286
_cell_length_b 4.286
_cell_length_c 3.887
_cell_angle_alpha 90.00
_cell_angle_beta 90.00
_cell_angle_gamma 90.00
loop_
_atom_site_label
_atom_site_type_symbol
_atom_site_fract_x
_atom_site_fract_y
_atom_site_fract_z
K1 K 0.000 0.000 0.000
Si1 Si 0.500 0.500 0.000
Pt1 Pt 0.000 0.500 0.500
```

(6)
KSi6Pt12 | GGA-PBE | optimized geometry

Summary:
- E (hartree per atom) = -0.227
- size of the total moment (μB per cell) = 0.000
- energy relative to the elements, uncorrected (eV/atom) = -0.579

```
data_KSi6Pt12
_space_group_name_H-M_alt 'R -3 m'
_space_group_IT_number 166
_space_group_name_Hall '-R 3 2"'
_cell_length_a 11.4669
_cell_length_b 11.4669
_cell_length_c 8.3217
_cell_angle_alpha 90.00
_cell_angle_beta 90.00
_cell_angle_gamma 120.00
loop_
_atom_site_label
_atom_site_type_symbol
_atom_site_fract_x
_atom_site_fract_y
_atom_site_fract_z
K1 K 0.0000 0.0000 0.0000
Si1 Si 0.0442 0.5221 0.2690
Pt1 Pt 0.0000 0.3740 0.5000
Pt2 Pt 0.0853 0.1706 0.3457
```

(7)
KSiPt3 | GGA-PBE | optimized geometry

Summary:
- E (hartree per atom) = -0.196
- size of the total moment (μB per cell) = 0.000
- energy relative to the elements, uncorrected (eV/atom) = -0.394
- E above lowest polymorph (eV/f.u.) = 0.00

```
data_KSiPt3
_space_group_name_H-M_alt 'I m m m'
_space_group_IT_number 71
_space_group_name_Hall '-I 2 2'
_cell_length_a 6.001
_cell_length_b 6.291
_cell_length_c 10.012
_cell_angle_alpha 90.00
_cell_angle_beta 90.00
_cell_angle_gamma 90.00
loop_
_atom_site_label
_atom_site_type_symbol
_atom_site_fract_x
_atom_site_fract_y
_atom_site_fract_z
K1 K 0.000 0.000 0.000
K2 K 0.000 0.500 0.000
Si1 Si 0.000 0.000 0.349
Pt1 Pt 0.000 0.285 0.500
Pt2 Pt 0.250 0.250 0.250
```

(8)
KSiPt2 | GGA-PBE | optimized geometry

Summary:
- E (hartree per atom) = -0.173
- size of the total moment (μB per cell) = 0.000
- energy relative to the elements, uncorrected (eV/atom) = -0.067

```
data_KSiPt2
_space_group_name_H-M_alt 'P 4 m m'
_space_group_IT_number 99
_cell_length_a 2.983
_cell_length_b 2.983
_cell_length_c 8.582
_cell_angle_alpha 90.00
_cell_angle_beta 90.00
_cell_angle_gamma 90.00
loop_
_space_group_symop_operation_xyz
'x,y,z'
'-y,x,z'
'-x,-y,z'
'y,-x,z'
'-x,y,z'
'y,x,z'
'x,-y,z'
'-y,-x,z'
loop_
_atom_site_label
_atom_site_type_symbol
_atom_site_fract_x
_atom_site_fract_y
_atom_site_fract_z
K1 K 0.000 0.000 0.000
Si1 Si 0.500 0.500 0.688
Pt1 Pt 0.000 0.000 0.527
Pt2 Pt 0.500 0.500 0.300
```

- Which value of energy relative to the elements, uncorrected does entry 4 give?
  0.381 eV/atom